# Os2I (PBE-GGA, optimized geometry)
data_Os2I
_chemical_formula_sum 'Os4 I2'
_symmetry_space_group_name_H-M 'P 1'
_symmetry_Int_Tables_number 1
_cell_length_a 5.3890
_cell_length_b 5.3890
_cell_length_c 5.3890
_cell_angle_alpha 60.00
_cell_angle_beta 60.00
_cell_angle_gamma 60.00
loop_
_symmetry_equiv_pos_as_xyz
'x,y,z'
loop_
_atom_site_label
_atom_site_type_symbol
_atom_site_fract_x
_atom_site_fract_y
_atom_site_fract_z
Os1 Os 0.1250 0.6250 0.6250
Os2 Os 0.6250 0.6250 0.6250
Os3 Os 0.6250 0.6250 0.1250
Os4 Os 0.6250 0.1250 0.6250
I1 I 0.0000 0.0000 0.0000
I2 I 0.2500 0.2500 0.2500
# * VASP energy: -6.168 eV/atom
# * total moment: 0.95 μB per formula unit
# * ρ: 15.23 g cm⁻³